## CaCoGe2Rh (GGA-PBE)

Data for a relaxed CaCoGe2Rh crystal.

```
5
Lattice="-2.042 2.042 5.217 2.042 -2.042 5.217 2.042 2.042 -5.217" Properties=species:S:1:pos:R:3 pbc="T T T"
Ca 0.000 0.000 0.000
Co 2.042 0.000 2.609
Ge 0.000 0.000 3.884
Ge 0.000 0.000 6.551
Rh 0.000 2.042 2.609
```

Summary:
Space-group type ... I-4m2
Total DFT energy (no corrections) ... -5.758 eV/atom
Size of the total moment ... 0.000 μB per atom
DFT formation energy ... -619 meV/atom



## CaCo2SiGe (GGA-PBE)

Data for a relaxed CaCo2SiGe crystal.

```
5
Lattice="4.560 0.000 0.000 0.000 4.560 0.000 0.000 0.000 5.218" Properties=species:S:1:pos:R:3 pbc="T T T"
Ca 0.000 0.000 0.000
Co 0.000 2.280 0.000
Co 2.280 0.000 0.000
Si 0.000 0.000 2.609
Ge 2.280 2.280 2.609
```

Summary:
Space-group type ... P4/mmm
Total DFT energy (no corrections) ... -3.478 eV/atom
Size of the total moment ... 0.547 μB per atom



## CaTmCo2Ge2 (GGA-PBE)

Data for a relaxed CaTmCo2Ge2 crystal.

```
6
Lattice="4.316 0.000 0.000 -2.158 3.738 0.000 0.000 0.000 6.966" Properties=species:S:1:pos:R:3 pbc="T T T"
Ca 0.000 0.000 0.000
Tm 0.000 0.000 3.483
Co 0.000 2.492 4.455
Co 2.158 1.246 2.511
Ge 0.000 2.492 1.948
Ge 2.158 1.246 5.018
```

Summary:
Space-group type ... P-3m1
Total DFT energy (no corrections) ... -5.442 eV/atom
Size of the total moment ... 0.000 μB per atom
DFT formation energy ... -456 meV/atom



## CaZnCo2Ge2 (GGA-PBE)

Data for a relaxed CaZnCo2Ge2 crystal.

```
6
Lattice="4.055 0.000 0.000 -2.028 3.512 0.000 0.000 0.000 6.920" Properties=species:S:1:pos:R:3 pbc="T T T"
Ca 0.000 0.000 0.000
Zn 0.000 0.000 3.460
Co 0.000 2.341 4.343
Co 2.028 1.171 2.577
Ge 0.000 2.341 1.939
Ge 2.028 1.171 4.982
```

Summary:
Space-group type ... P-3m1
Total DFT energy (no corrections) ... -4.815 eV/atom
Size of the total moment ... 0.000 μB per atom
DFT formation energy ... -361 meV/atom



## CaZr2CoGe (GGA-PBE)

Data for a relaxed CaZr2CoGe crystal.

```
5
Lattice="5.041 0.000 0.000 0.000 5.041 0.000 0.000 0.000 5.279" Properties=species:S:1:pos:R:3 pbc="T T T"
Ca 0.000 0.000 0.000
Zr 0.000 2.521 2.639
Zr 2.521 0.000 2.639
Co 2.521 2.521 0.000
Ge 0.000 0.000 2.639
```

Summary:
Space-group type ... P4/mmm
Total DFT energy (no corrections) ... -5.376 eV/atom
Size of the total moment ... 0.000 μB per atom
DFT formation energy ... 788 meV/atom



## CaCo2H2 (GGA-PBE)

Data for a relaxed CaCo2H2 crystal.

```
5
Lattice="-1.708 1.708 4.905 1.708 -1.708 4.905 1.708 1.708 -4.905" Properties=species:S:1:pos:R:3 pbc="T T T"
Ca 0.000 0.000 0.000
Co 0.000 0.000 2.757
Co 0.000 0.000 7.053
H 1.708 0.000 2.453
H 0.000 1.708 2.453
```

Summary:
Space-group type ... I4/mmm
Total DFT energy (no corrections) ... -4.554 eV/atom
Size of the total moment ... 0.211 μB per atom



- What is the formula in the fifth record?
  CaZr2CoGe